Entry 1:
The following is a DFT calculation (GGA-PBE) of a relaxed structure of FeHg.

Structure (CIF):
```
data_FeHg
_chemical_formula_sum 'Fe4 Hg4'
_symmetry_space_group_name_H-M 'F -4 3 m'
_symmetry_Int_Tables_number 216
_symmetry_space_group_name_Hall 'F -4 2 3'
_cell_length_a 5.975
_cell_length_b 5.975
_cell_length_c 5.975
_cell_angle_alpha 90.00
_cell_angle_beta 90.00
_cell_angle_gamma 90.00
loop_
_atom_site_label
_atom_site_type_symbol
_atom_site_fract_x
_atom_site_fract_y
_atom_site_fract_z
_atom_site_occupancy
Fe1 Fe 0.000 0.000 0.000 1
Hg1 Hg 0.250 0.250 0.250 1
```

total moment = 12.3 μB per cell
calculated formation energy = 2.5 eV per formula unit

***

Entry 2:
The following is a DFT calculation (GGA-PBE) of a relaxed structure of CsCaCu2F8.

Structure (CIF):
```
data_CsCaCu2F8
_chemical_formula_sum 'Cs1 Ca1 Cu2 F8'
_symmetry_space_group_name_H-M 'P -3'
_symmetry_Int_Tables_number 147
_symmetry_space_group_name_Hall '-P 3'
_cell_length_a 5.7686
_cell_length_b 5.7686
_cell_length_c 8.4062
_cell_angle_alpha 90.00
_cell_angle_beta 90.00
_cell_angle_gamma 120.00
loop_
_atom_site_label
_atom_site_type_symbol
_atom_site_fract_x
_atom_site_fract_y
_atom_site_fract_z
_atom_site_occupancy
Cs1 Cs 0.0000 0.0000 0.0000 1
Ca1 Ca 0.0000 0.0000 0.5000 1
Cu1 Cu 0.3333 0.6667 0.7270 1
F1 F 0.0488 0.3266 0.6683 1
F2 F 0.3333 0.6667 0.9431 1
```

E_form (uncorrected) = -2.1786 eV/atom
total moment = 3.0 μB per cell

***

Entry 3:
The following is a DFT calculation (GGA-PBE) of a relaxed structure of InSnAu.

Structure (CIF):
```
data_InSnAu
_chemical_formula_sum 'In1 Sn1 Au1'
_symmetry_space_group_name_H-M 'P 3 m 1'
_symmetry_Int_Tables_number 156
_symmetry_space_group_name_Hall 'P 3 -2"'
_cell_length_a 4.5419
_cell_length_b 4.5419
_cell_length_c 4.2668
_cell_angle_alpha 90.00
_cell_angle_beta 90.00
_cell_angle_gamma 120.00
loop_
_atom_site_label
_atom_site_type_symbol
_atom_site_fract_x
_atom_site_fract_y
_atom_site_fract_z
_atom_site_occupancy
In1 In 0.0000 0.0000 0.0000 1
Sn1 Sn 0.6667 0.3333 0.4534 1
Au1 Au 0.3333 0.6667 0.7193 1
```

total moment = 0.0 μB per cell
calculated formation energy = -0.3 eV per formula unit

***

Entry 4:
The following is a DFT calculation (GGA-PBE) of a relaxed structure of V2Pd3Pt2.

Structure (CIF):
```
data_V2Pd3Pt2
_chemical_formula_sum 'V4 Pd6 Pt4'
_symmetry_space_group_name_H-M 'C m m m'
_symmetry_Int_Tables_number 65
_symmetry_space_group_name_Hall '-C 2 2'
_cell_length_a 3.946
_cell_length_b 19.616
_cell_length_c 2.716
_cell_angle_alpha 90.00
_cell_angle_beta 90.00
_cell_angle_gamma 90.00
loop_
_atom_site_label
_atom_site_type_symbol
_atom_site_fract_x
_atom_site_fract_y
_atom_site_fract_z
_atom_site_occupancy
V1 V 0.000 0.146 0.000 1
Pd1 Pd 0.000 0.000 0.000 1
Pd2 Pd 0.000 0.429 0.500 1
Pt1 Pt 0.000 0.295 0.500 1
```

total moment = 0.0 μB per cell
calculated formation energy = -1.9 eV per formula unit

***

Entry 5:
The following is a DFT calculation (GGA-PBE) of a relaxed structure of ScTlIrRh2.

Structure (CIF):
```
data_ScTlIrRh2
_chemical_formula_sum 'Sc1 Tl1 Ir1 Rh2'
_symmetry_space_group_name_H-M 'P 4/m m m'
_symmetry_Int_Tables_number 123
_symmetry_space_group_name_Hall '-P 4 2'
_cell_length_a 4.827
_cell_length_b 4.827
_cell_length_c 5.138
_cell_angle_alpha 90.00
_cell_angle_beta 90.00
_cell_angle_gamma 90.00
loop_
_atom_site_label
_atom_site_type_symbol
_atom_site_fract_x
_atom_site_fract_y
_atom_site_fract_z
_atom_site_occupancy
Sc1 Sc 0.000 0.000 0.000 1
Tl1 Tl 0.000 0.000 0.500 1
Ir1 Ir 0.500 0.500 0.000 1
Rh1 Rh 0.000 0.500 0.500 1
```

total moment = 0.9 μB per cell
calculated formation energy = 8.1 eV per formula unit

***

Entry 6:
The following is a DFT calculation (GGA-PBE) of a relaxed structure of Sm6HoCd2.

Structure (CIF):
```
data_Sm6HoCd2
_chemical_formula_sum 'Sm12 Ho2 Cd4'
_symmetry_space_group_name_H-M 'C 1 2/m 1'
_symmetry_Int_Tables_number 12
_symmetry_space_group_name_Hall '-C 2y'
_cell_length_a 12.820
_cell_length_b 3.796
_cell_length_c 12.076
_cell_angle_alpha 90.00
_cell_angle_beta 108.86
_cell_angle_gamma 90.00
loop_
_atom_site_label
_atom_site_type_symbol
_atom_site_fract_x
_atom_site_fract_y
_atom_site_fract_z
_atom_site_occupancy
Sm1 Sm 0.019 0.000 0.337 1
Sm2 Sm 0.185 0.500 0.877 1
Sm3 Sm 0.189 0.500 0.587 1
Ho1 Ho 0.000 0.000 0.000 1
Cd1 Cd 0.143 0.500 0.201 1
```

polymorph energy (0 for the lowest one) = 0 meV/atom
total moment = 0.0 μB per cell
calculated formation energy = -1.2 eV per formula unit

***

Entry 7:
The following is a DFT calculation (GGA-PBE) of a relaxed structure of Hf2CoReRh.

Structure (CIF):
```
data_Hf2CoReRh
_chemical_formula_sum 'Hf2 Co1 Re1 Rh1'
_symmetry_space_group_name_H-M 'P 4/m m m'
_symmetry_Int_Tables_number 123
_symmetry_space_group_name_Hall '-P 4 2'
_cell_length_a 4.980
_cell_length_b 4.980
_cell_length_c 4.621
_cell_angle_alpha 90.00
_cell_angle_beta 90.00
_cell_angle_gamma 90.00
loop_
_atom_site_label
_atom_site_type_symbol
_atom_site_fract_x
_atom_site_fract_y
_atom_site_fract_z
_atom_site_occupancy
Hf1 Hf 0.000 0.500 0.000 1
Co1 Co 0.000 0.000 0.500 1
Re1 Re 0.500 0.500 0.000 1
Rh1 Rh 0.500 0.500 0.500 1
```

total moment = 0.2 μB per cell
calculated formation energy = 5.9 eV per formula unit

***

Entry 8:
The following is a DFT calculation (GGA-PBE) of a relaxed structure of PdRhN2F.

Structure (CIF):
```
data_PdRhN2F
_chemical_formula_sum 'Pd1 Rh1 N2 F1'
_symmetry_space_group_name_H-M 'P 4/m m m'
_symmetry_Int_Tables_number 123
_symmetry_space_group_name_Hall '-P 4 2'
_cell_length_a 3.955
_cell_length_b 3.955
_cell_length_c 4.003
_cell_angle_alpha 90.00
_cell_angle_beta 90.00
_cell_angle_gamma 90.00
loop_
_atom_site_label
_atom_site_type_symbol
_atom_site_fract_x
_atom_site_fract_y
_atom_site_fract_z
_atom_site_occupancy
Pd1 Pd 0.000 0.000 0.000 1
Rh1 Rh 0.500 0.500 0.500 1
N1 N 0.000 0.500 0.000 1
F1 F 0.000 0.000 0.500 1
```

polymorph energy (0 for the lowest one) = 521 meV/atom
E_form (uncorrected) = 1.3838 eV/atom
total moment = 0.1 μB per cell

***

Entry 9:
The following is a DFT calculation (GGA-PBE) of a relaxed structure of Tc4WCl.

Structure (CIF):
```
data_Tc4WCl
_chemical_formula_sum 'Tc16 W4 Cl4'
_symmetry_space_group_name_H-M 'F -4 3 m'
_symmetry_Int_Tables_number 216
_symmetry_space_group_name_Hall 'F -4 2 3'
_cell_length_a 7.294
_cell_length_b 7.294
_cell_length_c 7.294
_cell_angle_alpha 90.00
_cell_angle_beta 90.00
_cell_angle_gamma 90.00
loop_
_atom_site_label
_atom_site_type_symbol
_atom_site_fract_x
_atom_site_fract_y
_atom_site_fract_z
_atom_site_occupancy
Tc1 Tc 0.125 0.125 0.125 1
W1 W 0.250 0.250 0.750 1
Cl1 Cl 0.000 0.000 0.500 1
```

E_form (uncorrected) = 0.9642 eV/atom
total moment = 0.0 μB per cell

***

Entry 10:
The following is a DFT calculation (GGA-PBE) of a relaxed structure of Mg14CoBi.

Structure (CIF):
```
data_Mg14CoBi
_chemical_formula_sum 'Mg28 Co2 Bi2'
_symmetry_space_group_name_H-M 'A m m 2'
_symmetry_Int_Tables_number 38
_symmetry_space_group_name_Hall 'A 2 -2'
_cell_length_a 10.175
_cell_length_b 6.273
_cell_length_c 11.089
_cell_angle_alpha 90.00
_cell_angle_beta 90.00
_cell_angle_gamma 90.00
loop_
_atom_site_label
_atom_site_type_symbol
_atom_site_fract_x
_atom_site_fract_y
_atom_site_fract_z
_atom_site_occupancy
Mg1 Mg 0.000 0.000 0.000 1
Mg2 Mg 0.000 0.000 0.497 1
Mg3 Mg 0.000 0.246 0.250 1
Mg4 Mg 0.242 0.000 0.667 1
Mg5 Mg 0.260 0.239 0.914 1
Mg6 Mg 0.267 0.000 0.156 1
Mg7 Mg 0.500 0.243 0.756 1
Co1 Co 0.500 0.000 0.978 1
Bi1 Bi 0.500 0.000 0.509 1
```

polymorph energy (0 for the lowest one) = 13 meV/atom
total moment = 2.1 μB per cell
calculated formation energy = 0.8 eV per formula unit